Record 1
Entry from Alexandria: crystalline AcTb6Dy5 at its relaxed geometry (GGA-PBE).

The value obtained for the energy of formation is 0.3 eV/f.u. The energy is -109.1 eV/cell.

The structure belongs to space group C2/m (No. 12); the cell edges are 6.215, 10.752 and 11.889 Å and the angles 90.00°, 99.96° and 90.00°. The inequivalent atoms are Ac at (0.000, 0.000, 0.000), Tb at (0.247, 0.332, 0.746), Tb at (0.248, 0.500, 0.255), Dy at (0.000, 0.167, 0.500), Dy at (0.000, 0.333, 0.000) and Dy at (0.000, 0.500, 0.500).

Record 2
Entry from Alexandria: crystalline Ac3TbDy3 at its relaxed geometry (GGA-PBE).

The value obtained for the energy of formation is 0.5 eV/f.u. The energy is -181.9 eV/cell.

The structure belongs to space group R-3 (No. 148, hexagonal axes); the cell edges are 9.8905, 9.8905 and 18.3359 Å and the angles 90.00°, 90.00° and 120.00°. The inequivalent atoms are Ac at (0.0409, 0.2402, 0.4159), Tb at (0.0000, 0.0000, 0.2427) and Dy at (0.0508, 0.2327, 0.9167).

Record 3
Entry from Alexandria: crystalline AcTb7Dy2 at its relaxed geometry (GGA-PBE).

The value obtained for the energy of formation is 6.7 eV/f.u. The value obtained for the excess energy over the best structure of this formula in the dataset is 6.39 eV/f.u. The energy is -78.1 eV/cell.

The structure belongs to space group Cmmm (No. 65); the cell edges are 8.822, 15.942 and 5.751 Å and the angles 90.00°, 90.00° and 90.00°. The inequivalent atoms are Ac at (0.000, 0.000, 0.000), Tb at (0.000, 0.230, 0.000), Tb at (0.000, 0.500, 0.500), Tb at (0.178, 0.120, 0.500) and Dy at (0.000, 0.297, 0.500).

Record 4
Entry from Alexandria: crystalline AcTb2Dy2 at its relaxed geometry (GGA-PBE).

The value obtained for the energy of formation is 0.7 eV/f.u. The energy is -87.6 eV/cell.

The structure belongs to space group Imma (No. 74); the cell edges are 5.860, 7.160 and 16.646 Å and the angles 90.00°, 90.00° and 90.00°. The inequivalent atoms are Ac at (0.000, 0.250, 0.115), Tb at (0.000, 0.007, 0.690), Dy at (0.000, 0.250, 0.504) and Dy at (0.000, 0.250, 0.879).

Record 5
Entry from Alexandria: crystalline AcTb6Dy12 at its relaxed geometry (GGA-PBE).

The value obtained for the energy of formation is 8.0 eV/f.u. The energy is -237.5 eV/cell.

The structure belongs to space group R-3m (No. 166, hexagonal axes); the cell edges are 15.0675, 15.0675 and 10.0379 Å and the angles 90.00°, 90.00° and 120.00°. The inequivalent atoms are Ac at (0.0000, 0.0000, 0.0000), Tb at (0.0414, 0.5207, 0.2095), Dy at (0.0000, 0.3902, 0.5000) and Dy at (0.0715, 0.1429, 0.3143).

Record 6
Entry from Alexandria: crystalline AcTbDy2 at its relaxed geometry (GGA-PBE).

The value obtained for the energy of formation is 0.2 eV/f.u. The value obtained for the excess energy over the best structure of this formula in the dataset is 0.00 eV/f.u. The energy is -53.3 eV/cell.

The structure belongs to space group R3m (No. 160, hexagonal axes); the cell edges are 3.7005, 3.7005 and 35.0937 Å and the angles 90.00°, 90.00° and 120.00°. The inequivalent atoms are Ac at (0.0000, 0.0000, 0.0000), Tb at (0.0000, 0.0000, 0.1660), Dy at (0.0000, 0.0000, 0.4196) and Dy at (0.0000, 0.0000, 0.5799).